# 1
## La4Pm2Pb3O2 (PBE)

Data for La4Pm2Pb3O2 after structural relaxation.

The structure in CIF format:
```
data_La4Pm2Pb3O2
_cell_length_a 4.900
_cell_length_b 4.900
_cell_length_c 26.637
_cell_angle_alpha 90.00
_cell_angle_beta 90.00
_cell_angle_gamma 90.00
_symmetry_space_group_name_H-M 'I 4/m m m'
_symmetry_Int_Tables_number 139
_symmetry_space_group_name_Hall '-I 4 2'
loop_
_atom_site_label
_atom_site_type_symbol
_atom_site_fract_x
_atom_site_fract_y
_atom_site_fract_z
La1 La 0.000 0.500 0.084
Pm1 Pm 0.000 0.000 0.196
Pb1 Pb 0.000 0.000 0.319
Pb2 Pb 0.000 0.000 0.500
O1 O 0.000 0.000 0.106
```

---

# 2
## LaPmPbO2 (PBE)

Data for LaPmPbO2 after structural relaxation.

The structure in CIF format:
```
data_LaPmPbO2
_cell_length_a 4.005
_cell_length_b 4.005
_cell_length_c 14.711
_cell_angle_alpha 90.00
_cell_angle_beta 90.00
_cell_angle_gamma 90.00
_symmetry_space_group_name_H-M 'I 4 m m'
_symmetry_Int_Tables_number 107
_symmetry_space_group_name_Hall 'I 4 -2'
loop_
_atom_site_label
_atom_site_type_symbol
_atom_site_fract_x
_atom_site_fract_y
_atom_site_fract_z
La1 La 0.000 0.000 0.000
Pm1 Pm 0.000 0.000 0.336
Pb1 Pb 0.000 0.000 0.669
O1 O 0.000 0.500 0.416
```

---

# 3
## LaPmPb2O8 (PBE)

Data for LaPmPb2O8 after structural relaxation.

The structure in CIF format:
```
data_LaPmPb2O8
_cell_length_a 5.725
_cell_length_b 5.725
_cell_length_c 10.988
_cell_angle_alpha 90.00
_cell_angle_beta 90.00
_cell_angle_gamma 90.00
_symmetry_space_group_name_H-M 'I -4'
_symmetry_Int_Tables_number 82
loop_
_symmetry_equiv_pos_as_xyz
'x,y,z'
'y,-x,-z'
'-x,-y,z'
'-y,x,-z'
'x+1/2,y+1/2,z+1/2'
'y+1/2,-x+1/2,-z+1/2'
'-x+1/2,-y+1/2,z+1/2'
'-y+1/2,x+1/2,-z+1/2'
loop_
_atom_site_label
_atom_site_type_symbol
_atom_site_fract_x
_atom_site_fract_y
_atom_site_fract_z
La1 La 0.000 0.000 0.000
Pm1 Pm 0.000 0.500 0.250
Pb1 Pb 0.000 0.000 0.500
Pb2 Pb 0.000 0.500 0.750
O1 O 0.197 0.254 0.402
O2 O 0.206 0.750 0.845
```

---

# 4
## LaPrPb2O8 (PBE)

Data for LaPrPb2O8 after structural relaxation.

The structure in CIF format:
```
data_LaPrPb2O8
_cell_length_a 5.750
_cell_length_b 5.750
_cell_length_c 11.086
_cell_angle_alpha 90.00
_cell_angle_beta 90.00
_cell_angle_gamma 90.00
_symmetry_space_group_name_H-M 'I -4'
_symmetry_Int_Tables_number 82
loop_
_symmetry_equiv_pos_as_xyz
'x,y,z'
'y,-x,-z'
'-x,-y,z'
'-y,x,-z'
'x+1/2,y+1/2,z+1/2'
'y+1/2,-x+1/2,-z+1/2'
'-x+1/2,-y+1/2,z+1/2'
'-y+1/2,x+1/2,-z+1/2'
loop_
_atom_site_label
_atom_site_type_symbol
_atom_site_fract_x
_atom_site_fract_y
_atom_site_fract_z
La1 La 0.000 0.000 0.000
Pr1 Pr 0.000 0.500 0.250
Pb1 Pb 0.000 0.000 0.500
Pb2 Pb 0.000 0.500 0.750
O1 O 0.198 0.252 0.404
O2 O 0.202 0.749 0.845
```

---

Number 1: total magnetization 0.00 μB per formula unit, electronic total energy -5.955 eV/atom, volume 29.1 Å³ per atom. Number 2: total magnetization 0.00 μB per formula unit, electronic total energy -7.163 eV/atom, volume 23.6 Å³ per atom. Number 3: total magnetization 2.04 μB per formula unit, electronic total energy -6.453 eV/atom, volume 15.0 Å³ per atom. Number 4: total magnetization 2.04 μB per formula unit, electronic total energy -6.439 eV/atom, volume 15.3 Å³ per atom.